Density functional theory data (PBE-GGA) for a relaxed structure of Li4Tl2PdAu.

Cell lengths 4.6109, 4.6109, 6.5195 Å; angles 90.00, 90.00, 90.00 degrees
Last column: nearest neighbours and their distance in Å.
Positions (direct):
Pd  0.5000  0.5000  0.5000  4 Tl 2.78, 4 Li 2.82
Li  0.0000  0.5000  0.7486  2 Pd 2.82, 4 Li 2.82-2.83, 2 Au 2.83
Li  0.5000  0.5000  0.0000  4 Li 2.83, 4 Tl 2.87
Li  0.5000  0.0000  0.2514  4 Li 2.82-2.83, 2 Pd 2.82, 2 Au 2.83
Li  0.0000  0.0000  0.5000  4 Tl 2.78, 4 Li 2.82
Tl  0.5000  0.0000  0.7388  2 Pd 2.78, 4 Li 2.78-2.87, 2 Au 2.87
Tl  0.0000  0.5000  0.2612  4 Li 2.78-2.87, 2 Pd 2.78, 2 Au 2.87
Au  0.0000  0.0000  0.0000  4 Li 2.83, 4 Tl 2.87

Summary:
**Space-group type**: P-4m2
**Final energy**: -2.97 eV per atom

Density functional theory data (PBE-GGA) for a relaxed structure of Li4Zn2PdAu.

Cell lengths 4.3234, 4.3234, 6.1398 Å; angles 90.00, 90.00, 90.00 degrees
Last column: nearest neighbours and their distance in Å.
Positions (direct):
Li  0.5000  0.0000  0.2536  4 Li 2.64-2.66, 2 Pd 2.64, 2 Au 2.66
Li  0.0000  0.0000  0.5000  4 Zn 2.61, 4 Li 2.64
Li  0.5000  0.5000  0.0000  4 Li 2.66, 4 Zn 2.69
Li  0.0000  0.5000  0.7464  4 Li 2.64-2.66, 2 Pd 2.64, 2 Au 2.66
Zn  0.0000  0.5000  0.2608  4 Li 2.61-2.69, 2 Pd 2.61, 2 Au 2.69
Zn  0.5000  0.0000  0.7392  2 Pd 2.61, 4 Li 2.61-2.69, 2 Au 2.69
Pd  0.5000  0.5000  0.5000  4 Zn 2.61, 4 Li 2.64
Au  0.0000  0.0000  0.0000  4 Li 2.66, 4 Zn 2.69

Summary:
**Space-group type**: P-4m2
**Final energy**: -2.76 eV per atom

The lowest final energy belongs to which entry? Li4Tl2PdAu